No. 1
Entry from Alexandria: crystalline TiFeSbMo at its relaxed geometry (GGA-PBE).

The structure belongs to space group F-43m (No. 216); the cell edges are 6.2800, 6.2800 and 6.2800 Å and the angles 90.00°, 90.00° and 90.00°. The inequivalent atoms are Ti at (0.0000, 0.0000, 0.0000), Fe at (0.2500, 0.2500, 0.2500), Sb at (0.0000, 0.0000, 0.5000) and Mo at (0.2500, 0.2500, 0.7500).

As for the crystal system: cubic. The value obtained for the raw total energy is -126.19 eV/cell.

No. 2
Entry from Alexandria: crystalline Tl2FeSbMo at its relaxed geometry (GGA-PBE).

The structure belongs to space group P4/mmm (No. 123); the cell edges are 5.4289, 5.4289 and 5.1578 Å and the angles 90.00°, 90.00° and 90.00°. The inequivalent atoms are Tl at (0.0000, 0.5000, 0.0000), Fe at (0.0000, 0.0000, 0.5000), Sb at (0.5000, 0.5000, 0.5000) and Mo at (0.5000, 0.5000, 0.0000).

As for the crystal system: tetragonal. The value obtained for the raw total energy is -22.77 eV/cell.

No. 3
Entry from Alexandria: crystalline FeSb2MoW at its relaxed geometry (GGA-PBE).

The structure belongs to space group P4/mmm (No. 123); the cell edges are 5.1113, 5.1113 and 4.4061 Å and the angles 90.00°, 90.00° and 90.00°. The inequivalent atoms are Fe at (0.0000, 0.0000, 0.0000), Sb at (0.0000, 0.5000, 0.5000), Mo at (0.0000, 0.0000, 0.5000) and W at (0.5000, 0.5000, 0.0000).

As for the crystal system: tetragonal. The value obtained for the raw total energy is -31.59 eV/cell.

No. 4
Entry from Alexandria: crystalline ZrFeSb2Mo at its relaxed geometry (GGA-PBE).

The structure belongs to space group P4/mmm (No. 123); the cell edges are 5.1738, 5.1738 and 4.3878 Å and the angles 90.00°, 90.00° and 90.00°. The inequivalent atoms are Zr at (0.0000, 0.0000, 0.0000), Fe at (0.5000, 0.5000, 0.0000), Sb at (0.0000, 0.5000, 0.5000) and Mo at (0.5000, 0.5000, 0.5000).

As for the crystal system: tetragonal. The value obtained for the raw total energy is -31.59 eV/cell.

No. 5
Entry from Alexandria: crystalline Sc3FeMo at its relaxed geometry (GGA-PBE).

The structure belongs to space group Pm-3m (No. 221); the cell edges are 4.6841, 4.6841 and 4.6841 Å and the angles 90.00°, 90.00° and 90.00°. The inequivalent atoms are Sc at (0.0000, 0.0000, 0.5000), Fe at (0.0000, 0.0000, 0.0000) and Mo at (0.5000, 0.5000, 0.5000).

Its offset from the most stable computed form is 0 meV per atom. As for the crystal system: cubic. As for the energy of formation: 0.563 eV per atom.

No. 6
Entry from Alexandria: crystalline ScFe2Mo2 at its relaxed geometry (GGA-PBE).

The structure belongs to space group P4/mbm (No. 127); the cell edges are 7.1519, 7.1519 and 2.8738 Å and the angles 90.00°, 90.00° and 90.00°. The inequivalent atoms are Sc at (0.0000, 0.0000, 0.0000), Fe at (0.1259, 0.3741, 0.0000) and Mo at (0.1669, 0.6669, 0.5000).

Its offset from the most stable computed form is 0 meV per atom. As for the crystal system: tetragonal. As for the energy of formation: 0.149 eV per atom.